TbMg2In, optimized geometry, DFT PBE; DOS(E_F) = 0.3185 states/eV/atom; magnetic moment = 0.00 μB/f.u.; energy above the most stable polymorph in this dataset = 0.154 eV/atom; symmetry = No. 225
1.0
0.000 3.634 3.634
3.634 0.000 3.634
3.634 3.634 0.000
Tb Mg In
1 2 1
Direct
0.000 0.000 0.000 Tb
0.250 0.250 0.250 Mg
0.750 0.750 0.750 Mg
0.500 0.500 0.500 In

TbTmZr, optimized geometry, DFT PBE; DOS(E_F) = 1.1275 states/eV/atom; magnetic moment = 0.00 μB/f.u.; energy above the most stable polymorph in this dataset = 0.010 eV/atom; symmetry = No. 156
1.0
3.399 0.000 0.000
-1.699 2.943 0.000
0.000 0.000 8.371
Tb Tm Zr
1 1 1
Direct
0.000 0.000 0.000 Tb
0.333 0.667 0.633 Tm
0.667 0.333 0.319 Zr

CsPa2C2N6, optimized geometry, DFT PBE; DOS(E_F) = 0.5139 states/eV/atom; raw formation energy = -0.66 eV per atom; magnetic moment = 0.72 μB/f.u.; symmetry = No. 12
1.0
5.257 -3.031 0.000
5.257 3.031 0.000
-2.547 0.000 5.371
Cs Pa C N
1 2 2 6
Direct
0.000 0.000 0.000 Cs
0.324 0.324 0.699 Pa
0.676 0.676 0.301 Pa
0.344 0.344 0.256 C
0.656 0.656 0.744 C
0.109 0.494 0.326 N
0.429 0.429 0.134 N
0.494 0.109 0.326 N
0.506 0.891 0.674 N
0.571 0.571 0.866 N
0.891 0.506 0.674 N

Tl3In3HgI8, optimized geometry, DFT PBE; raw formation energy = -0.48 eV per atom; magnetic moment = 0.00 μB/f.u.; symmetry = No. 166
1.0
4.957 2.862 8.108
-4.957 2.862 8.108
0.000 -5.724 8.108
Tl In Hg I
3 3 1 8
Direct
0.000 0.500 0.500 Tl
0.500 0.000 0.500 Tl
0.500 0.500 0.000 Tl
0.000 0.000 0.500 In
0.000 0.500 0.000 In
0.500 0.000 0.000 In
0.500 0.500 0.500 Hg
0.249 0.249 0.249 I
0.277 0.721 0.721 I
0.279 0.279 0.723 I
0.279 0.723 0.279 I
0.721 0.277 0.721 I
0.721 0.721 0.277 I
0.723 0.279 0.279 I
0.751 0.751 0.751 I

La3PI3, optimized geometry, DFT PBE; DOS(E_F) = 0.6206 states/eV/atom; raw formation energy = -1.47 eV per atom; magnetic moment = 0.00 μB/f.u.; energy above the most stable polymorph in this dataset = 0.017 eV/atom; symmetry = No. 11
1.0
9.238 0.000 0.000
0.000 4.334 0.000
-0.069 0.000 12.627
La P I
6 2 6
Direct
0.093 0.250 0.388 La
0.121 0.250 0.843 La
0.326 0.750 0.623 La
0.674 0.250 0.377 La
0.879 0.750 0.157 La
0.907 0.750 0.612 La
0.119 0.250 0.617 P
0.881 0.750 0.383 P
0.141 0.250 0.119 I
0.378 0.750 0.877 I
0.382 0.750 0.363 I
0.618 0.250 0.637 I
0.622 0.250 0.123 I
0.859 0.750 0.881 I

Ca2Cd4F, optimized geometry, DFT PBE; DOS(E_F) = 0.4065 states/eV/atom; raw formation energy = -0.48 eV per atom; magnetic moment = 0.00 μB/f.u.; symmetry = No. 139
1.0
-2.496 2.496 7.988
2.496 -2.496 7.988
2.496 2.496 -7.988
Ca Cd F
2 4 1
Direct
0.153 0.153 0.000 Ca
0.847 0.847 0.000 Ca
0.000 0.500 0.500 Cd
0.352 0.352 0.000 Cd
0.500 0.000 0.500 Cd
0.648 0.648 0.000 Cd
0.500 0.500 0.000 F